Entry 1:
# TcAgP2

An optimized crystal structure of TcAgP2 (PBE, Alexandria via LeMat-Bulk). Values from VASP.

The structure in Quantum ESPRESSO input format:
```
&SYSTEM
  ibrav = 0, nat = 4, ntyp = 3
/
ATOMIC_SPECIES
Ag 107.87 Ag.upf
P 30.97 P.upf
Tc 98.00 Tc.upf
CELL_PARAMETERS angstrom
4.606 0.000 0.000
0.000 3.181 -0.010
0.000 0.776 4.256
ATOMIC_POSITIONS crystal
Ag 0.500 0.828 0.744
P 0.000 0.944 0.026
P 0.500 0.411 0.277
Tc 0.000 0.317 0.452
```

Calculated values
Distance to the lowest polymorph of the same formula: 0.81 eV/f.u.
Formation energy from the elements: 0.5 eV per formula unit
SG: Pm

---

Entry 2:
# TcAg4P

An optimized crystal structure of TcAg4P (PBE, Alexandria via LeMat-Bulk). Values from VASP.

The structure in Quantum ESPRESSO input format:
```
&SYSTEM
  ibrav = 0, nat = 6, ntyp = 3
/
ATOMIC_SPECIES
Tc 98.00 Tc.upf
Ag 107.87 Ag.upf
P 30.97 P.upf
CELL_PARAMETERS angstrom
0.000 3.827 3.827
3.827 0.000 3.827
3.827 3.827 0.000
ATOMIC_POSITIONS crystal
Tc 0.000 0.000 0.000
Ag 0.876 0.375 0.375
Ag 0.375 0.375 0.876
Ag 0.375 0.876 0.375
Ag 0.375 0.375 0.375
P 0.750 0.750 0.750
```

Calculated values
Formation energy from the elements: 4.8 eV per formula unit
SG: F-43m

---

One value per record, in order, for size of the total moment: 0.0000, 0.5993 μB/atom.